Below is a geometry-optimized Ba3CoSb2O9 structure, with properties calculated at the PBEsol level.

Calculated values
Symmetry: P6_3/mmc, No. 194
Density (g cm⁻³): 6.7
Raw formation energy (eV per atom): -1.9929
Electronic total energy (Ha/atom): -0.2461

```
30
Lattice="5.8349 0.0000 0.0000 -2.9174 5.0531 0.0000 0.0000 0.0000 14.4704" Properties=species:S:1:pos:R:3 pbc="T T T"
Ba 0.0000 0.0000 10.8528
Ba 0.0000 0.0000 3.6176
Ba 0.0000 3.3688 13.2110
Ba 0.0000 3.3688 8.4946
Ba 2.9174 1.6844 5.9758
Ba 2.9174 1.6844 1.2594
Co 0.0000 0.0000 7.2352
Co 0.0000 0.0000 0.0000
Sb 2.9174 1.6844 9.4257
Sb 0.0000 3.3688 5.0447
Sb 0.0000 3.3688 2.1905
Sb 2.9174 1.6844 12.2799
O 1.3133 2.6105 3.6176
O 1.6041 2.4426 10.8528
O -1.3133 2.6105 3.6176
O 4.2307 2.4426 10.8528
O 2.9174 0.1679 10.8528
O 0.0000 4.8852 3.6176
O -1.4601 4.2117 6.0268
O 4.3775 0.8414 13.2620
O 0.0000 1.6828 1.2084
O 1.4574 0.8414 13.2620
O 1.4601 4.2117 6.0268
O 1.4601 4.2117 1.2084
O 2.9174 3.3703 13.2620
O 4.3775 0.8414 8.4436
O 1.4574 0.8414 8.4436
O 0.0000 1.6828 6.0268
O 2.9174 3.3703 8.4436
O -1.4601 4.2117 1.2084
```